! Nb2VWN GGA-PBE optimized geometry; values from VASP
&SYSTEM
  ibrav = 0, nat = 5, ntyp = 4
/
ATOMIC_SPECIES
V 50.94 V.upf
W 183.84 W.upf
Nb 92.91 Nb.upf
N 14.01 N.upf
ATOMIC_POSITIONS angstrom
V 0.000 0.000 1.857
W 2.214 2.214 1.857
Nb 0.000 2.214 0.000
Nb 2.214 0.000 0.000
N 0.000 0.000 0.000
CELL_PARAMETERS angstrom
4.428 0.000 0.000
0.000 4.428 0.000
0.000 0.000 3.713
! * crystal system: tetragonal
! * space-group type: P4/mmm, No. 123
! * density: 9.9 g cm⁻³
! * ΔE_f (raw): -2.01 eV per formula unit

! NbV2ZnN GGA-PBE optimized geometry; values from VASP
&SYSTEM
  ibrav = 0, nat = 5, ntyp = 4
/
ATOMIC_SPECIES
N 14.01 N.upf
V 50.94 V.upf
Nb 92.91 Nb.upf
Zn 65.41 Zn.upf
ATOMIC_POSITIONS angstrom
N 0.000 0.000 0.000
V 0.000 1.956 0.000
V 1.956 0.000 0.000
Nb 0.000 0.000 2.167
Zn 1.956 1.956 2.167
CELL_PARAMETERS angstrom
3.912 0.000 0.000
0.000 3.912 0.000
0.000 0.000 4.334
! * crystal system: tetragonal
! * space-group type: P4/mmm, No. 123
! * density: 6.9 g cm⁻³
! * relative energy among the computed polymorphs: 0 meV/atom
! * ΔE_f (raw): -2.38 eV per formula unit

! NbV2ZnN GGA-PBE optimized geometry; values from VASP
&SYSTEM
  ibrav = 0, nat = 5, ntyp = 4
/
ATOMIC_SPECIES
V 50.94 V.upf
Zn 65.41 Zn.upf
Nb 92.91 Nb.upf
N 14.01 N.upf
ATOMIC_POSITIONS angstrom
V -1.154 -1.471 0.607
V 1.583 -0.986 0.621
Zn 0.175 -0.932 -1.925
Nb 0.604 -3.388 -0.696
N 0.000 0.000 0.000
CELL_PARAMETERS angstrom
-2.308 -2.941 1.214
0.350 -1.864 -3.849
3.166 -1.972 1.242
! * crystal system: tetragonal
! * space-group type: P4/mmm, No. 123
! * density: 6.9 g cm⁻³
! * relative energy among the computed polymorphs: 342 meV/atom
! * ΔE_f (raw): -0.67 eV per formula unit

! NbWN2 GGA-PBE optimized geometry; values from VASP
&SYSTEM
  ibrav = 0, nat = 4, ntyp = 3
/
ATOMIC_SPECIES
N 14.01 N.upf
Nb 92.91 Nb.upf
W 183.84 W.upf
ATOMIC_POSITIONS angstrom
N 0.000 0.000 17.098
N 0.000 0.000 1.960
Nb 0.000 0.000 9.529
W 0.000 0.000 0.000
CELL_PARAMETERS angstrom
1.766 0.000 6.353
-0.883 1.529 6.353
-0.883 -1.529 6.353
! * crystal system: trigonal
! * space-group type: R-3m, No. 166
! * density: 9.8 g cm⁻³
! * relative energy among the computed polymorphs: 330 meV/atom
! * ΔE_f (raw): -0.95 eV per formula unit

What did the second record say?
! NbV2ZnN GGA-PBE optimized geometry; values from VASP
&SYSTEM
  ibrav = 0, nat = 5, ntyp = 4
/
ATOMIC_SPECIES
N 14.01 N.upf
V 50.94 V.upf
Nb 92.91 Nb.upf
Zn 65.41 Zn.upf
ATOMIC_POSITIONS angstrom
N 0.000 0.000 0.000
V 0.000 1.956 0.000
V 1.956 0.000 0.000
Nb 0.000 0.000 2.167
Zn 1.956 1.956 2.167
CELL_PARAMETERS angstrom
3.912 0.000 0.000
0.000 3.912 0.000
0.000 0.000 4.334
! * crystal system: tetragonal
! * space-group type: P4/mmm, No. 123
! * density: 6.9 g cm⁻³
! * relative energy among the computed polymorphs: 0 meV/atom
! * ΔE_f (raw): -2.38 eV per formula unit

Q: Look up the ΔE_f (raw) of the fourth one.
A: -0.95 eV per formula unit